1.
{"formula": "Tb6Pr12Zr", "functional": "GGA-PBE", "state": "relaxed", "lattice_angstrom": [[7.927, 4.576, 2.971], [-7.927, 4.576, 2.971], [0.000, -9.153, 2.971]], "species": ["Tb", "Tb", "Tb", "Tb", "Tb", "Tb", "Pr", "Pr", "Pr", "Pr", "Pr", "Pr", "Pr", "Pr", "Pr", "Pr", "Pr", "Pr", "Zr"], "frac_coords": [[0.037, 0.189, 0.290], [0.189, 0.290, 0.037], [0.290, 0.037, 0.189], [0.710, 0.963, 0.811], [0.811, 0.710, 0.963], [0.963, 0.811, 0.710], [0.084, 0.559, 0.875], [0.125, 0.916, 0.441], [0.242, 0.653, 0.602], [0.347, 0.398, 0.758], [0.398, 0.758, 0.347], [0.441, 0.125, 0.916], [0.559, 0.875, 0.084], [0.602, 0.242, 0.653], [0.653, 0.602, 0.242], [0.758, 0.347, 0.398], [0.875, 0.084, 0.559], [0.916, 0.441, 0.125], [0.500, 0.500, 0.500]], "e_tot_ev_per_cell": -92.924, "e_form_ev_per_fu": 0.8, "sg": "No. 148"}

***

2.
{"formula": "Tb6Pr2Zr", "functional": "GGA-PBE", "state": "relaxed", "lattice_angstrom": [[8.428, -4.850, 0.000], [8.428, 4.850, 0.000], [-0.009, 0.000, 3.450]], "species": ["Tb", "Tb", "Tb", "Tb", "Tb", "Tb", "Pr", "Pr", "Zr"], "frac_coords": [[0.176, 0.500, 0.000], [0.176, 0.824, 0.000], [0.500, 0.176, 0.000], [0.500, 0.824, 0.000], [0.824, 0.176, 0.000], [0.824, 0.500, 0.000], [0.167, 0.167, 0.500], [0.833, 0.833, 0.500], [0.500, 0.500, 0.500]], "e_tot_ev_per_cell": -44.906, "e_form_ev_per_fu": 1.0, "sg": "No. 12"}

***

3.
{"formula": "PrTc2", "functional": "GGA-PBE", "state": "relaxed", "lattice_angstrom": [[0.000, 3.898, 3.898], [3.898, 0.000, 3.898], [3.898, 3.898, 0.000]], "species": ["Pr", "Pr", "Tc", "Tc", "Tc", "Tc"], "frac_coords": [[0.125, 0.125, 0.125], [0.875, 0.875, 0.875], [0.000, 0.500, 0.500], [0.500, 0.000, 0.500], [0.500, 0.500, 0.000], [0.500, 0.500, 0.500]], "e_tot_ev_per_cell": -50.399, "e_form_ev_per_fu": 0.3, "sg": "No. 227"}

***

4.
{"formula": "PrTc", "functional": "GGA-PBE", "state": "relaxed", "lattice_angstrom": [[4.697, 0.000, 0.000], [0.000, 4.065, 0.000], [-2.352, 0.000, 5.465]], "species": ["Pr", "Pr", "Tc", "Tc"], "frac_coords": [[0.146, 0.250, 0.292], [0.854, 0.750, 0.708], [0.443, 0.250, 0.888], [0.557, 0.750, 0.112]], "e_tot_ev_per_cell": -29.705, "e_form_ev_per_fu": 0.3, "sg": "No. 11"}

***

5.
{"formula": "PrTc6", "functional": "GGA-PBE", "state": "relaxed", "lattice_angstrom": [[6.786, 0.000, 0.000], [0.000, 6.786, 0.000], [0.000, 0.000, 6.786]], "species": ["Pr", "Pr", "Tc", "Tc", "Tc", "Tc", "Tc", "Tc", "Tc", "Tc", "Tc", "Tc", "Tc", "Tc"], "frac_coords": [[0.000, 0.000, 0.000], [0.500, 0.500, 0.500], [0.000, 0.250, 0.500], [0.000, 0.500, 0.250], [0.000, 0.500, 0.750], [0.000, 0.750, 0.500], [0.250, 0.000, 0.500], [0.250, 0.500, 0.000], [0.500, 0.000, 0.250], [0.500, 0.000, 0.750], [0.500, 0.250, 0.000], [0.500, 0.750, 0.000], [0.750, 0.000, 0.500], [0.750, 0.500, 0.000]], "e_tot_ev_per_cell": -122.875, "e_form_ev_per_fu": 5.5, "sg": "No. 229"}

***

6.
{"formula": "Pr3Tc", "functional": "GGA-PBE", "state": "relaxed", "lattice_angstrom": [[3.740, 0.000, 0.000], [0.000, 11.115, 0.000], [0.000, 0.000, 5.711]], "species": ["Pr", "Pr", "Pr", "Pr", "Pr", "Pr", "Tc", "Tc"], "frac_coords": [[0.000, 0.000, 0.000], [0.000, 0.197, 0.501], [0.000, 0.803, 0.501], [0.500, 0.303, 0.001], [0.500, 0.500, 0.500], [0.500, 0.697, 0.001], [0.000, 0.500, 0.940], [0.500, 0.000, 0.440]], "e_tot_ev_per_cell": -48.072, "e_form_ev_per_fu": 0.7, "sg": "No. 44"}

***

7.
{"formula": "PrTc4", "functional": "GGA-PBE", "state": "relaxed", "lattice_angstrom": [[4.829, 0.000, 0.000], [0.000, 4.829, 0.000], [0.000, 0.000, 4.829]], "species": ["Pr", "Tc", "Tc", "Tc", "Tc"], "frac_coords": [[0.000, 0.000, 0.000], [0.000, 0.000, 0.500], [0.000, 0.500, 0.000], [0.500, 0.000, 0.000], [0.500, 0.500, 0.500]], "e_tot_ev_per_cell": -32.237, "e_form_ev_per_fu": 14.0, "sg": "No. 221"}

***

8.
{"formula": "PrThTc", "functional": "GGA-PBE", "state": "relaxed", "lattice_angstrom": [[3.570, 0.000, 0.000], [0.000, 3.570, 0.000], [0.000, 0.000, 11.898]], "species": ["Pr", "Pr", "Th", "Th", "Tc", "Tc"], "frac_coords": [[0.000, 0.000, 0.000], [0.500, 0.500, 0.500], [0.000, 0.000, 0.296], [0.500, 0.500, 0.796], [0.000, 0.000, 0.668], [0.500, 0.500, 0.168]], "e_tot_ev_per_cell": -44.984, "e_form_ev_per_fu": 0.1, "sg": "No. 107"}

***

Which formula does entry 2 have? Tb6Pr2Zr